A plane-wave DFT calculation with SCAN was carried out for a crystal of LiNbSeBr2 relaxed with PBEsol.

Its space-group type is P4/mmm (123). As for the raw formation energy: -65.9 kJ per mole of atoms. The volume comes out at 135 Å³/cell. As for the final energy: -19.586 eV per atom. For the total magnetization, the calculation gives 2.00 μB/cell.

Cell lengths 5.2197, 5.2197, 4.9730 Å; angles 90.00, 90.00, 90.00 degrees
Closest atoms and distances in Å follow each position.
Fractional coordinates of all 5 atoms:
Li 0.0000 0.0000 0.0000  8 Br 3.60, 4 Se 3.69
Nb 0.5000 0.5000 0.5000  2 Se 2.49, 4 Br 2.61
Se 0.5000 0.5000 0.0000  2 Nb 2.49
Br 0.0000 0.5000 0.5000  2 Nb 2.61
Br 0.5000 0.0000 0.5000  2 Nb 2.61